No. 1
# PmDy4Er10

PmDy4Er10 after structural relaxation (GGA-PBE, Alexandria via LeMat-Bulk).

abc: 9.7282 9.7282 10.7401
angles: 90.00 90.00 90.00
Space group I4/m (No. 87)
Inequivalent atoms, fractional coordinates:
Pm: 0.0000 0.0000 0.0000
Dy: 0.0553 0.7090 0.5000
Er: 0.0000 0.5000 0.2500
Er: 0.1222 0.7801 0.1683

Values from the calculation:
total magnetic moment	0.00	μB per atom
D(E_F)	28.5	states/eV/f.u.
DFT formation energy	0.481	eV per atom

No. 2
# PmDy8Er4

PmDy8Er4 after structural relaxation (GGA-PBE, Alexandria via LeMat-Bulk).

abc: 7.2536 7.2536 27.1038
angles: 90.00 90.00 120.00
Space group R-3m (No. 166, hexagonal axes)
Inequivalent atoms, fractional coordinates:
Pm: 0.0000 0.0000 0.0000
Dy: 0.0000 0.0000 0.2823
Dy: 0.0360 0.5180 0.2675
Er: 0.0000 0.0000 0.5000
Er: 0.0000 0.5000 0.5000

Values from the calculation:
total magnetic moment	0.00	μB per atom
D(E_F)	14.5	states/eV/f.u.
DFT formation energy	0.201	eV per atom

No. 3
# PmDy5Er

PmDy5Er after structural relaxation (GGA-PBE, Alexandria via LeMat-Bulk).

abc: 11.6907 6.7306 12.2188
angles: 90.00 110.75 90.00
Space group C2/c (No. 15)
Inequivalent atoms, fractional coordinates:
Pm: 0.0000 0.0300 0.2500
Dy: 0.0000 0.4102 0.7500
Dy: 0.0792 0.2662 0.5007
Dy: 0.2188 0.3672 0.2451
Er: 0.2500 0.2500 0.0000

Values from the calculation:
total magnetic moment	0.00	μB per atom
D(E_F)	7.8	states/eV/f.u.
DFT formation energy	0.192	eV per atom

No. 4
# PmDy5Er12

PmDy5Er12 after structural relaxation (GGA-PBE, Alexandria via LeMat-Bulk).

abc: 11.0628 17.2121 5.9112
angles: 90.00 90.00 90.00
Space group C2/m (No. 12)
Inequivalent atoms, fractional coordinates:
Pm: 0.0000 0.0000 0.0000
Dy: 0.0000 0.1674 0.5000
Dy: 0.0000 0.3322 0.0000
Dy: 0.0000 0.5000 0.5000
Er: 0.1718 0.5000 0.0455
Er: 0.1741 0.3333 0.4507
Er: 0.1750 0.0000 0.4543
Er: 0.1756 0.1672 0.0495

Values from the calculation:
total magnetic moment	0.00	μB per atom
D(E_F)	37.0	states/eV/f.u.
DFT formation energy	0.121	eV per atom